DFT (meta-GGA SCAN) results for a crystal of CaAgSb2O relaxed with PBEsol.

Summary:
Electronic total energy in eV per atom: -23.1271
Uncorrected formation energy in eV/atom: 1.23
SG: P4/mmm, No. 123

a = 5.6634 Å, b = 5.6634 Å, c = 5.2600 Å
α = 90.00°, β = 90.00°, γ = 90.00°
Sites, in units of the cell vectors:
Ca 0.0000 0.0000 0.0000
Ag 0.0000 0.0000 0.5000
Sb 0.0000 0.5000 0.0000
Sb 0.5000 0.0000 0.0000
O 0.5000 0.5000 0.5000



DFT (meta-GGA SCAN) results for a crystal of Ca2AgWO6 relaxed with PBEsol.

Summary:
Polymorph energy (0 for the lowest one) in meV/atom: 26
Electronic total energy in eV per atom: -18.0931
Uncorrected formation energy in eV/atom: -2.32
SG: P1, No. 1

a = 5.4285 Å, b = 5.6126 Å, c = 5.7088 Å
α = 62.05°, β = 61.92°, γ = 89.92°
Sites, in units of the cell vectors:
Ca 0.0000 0.0000 0.0000
Ca 0.4893 0.5087 0.0011
Ag 0.7183 0.1732 0.5436
W 0.2107 0.6543 0.5622
O 0.0877 0.3910 0.4747
O 0.3441 0.8688 0.6812
O 0.4157 0.3775 0.7135
O 0.5348 0.8285 0.1524
O 0.8924 0.4057 0.9895
O 0.9635 0.8701 0.4751



DFT (meta-GGA SCAN) results for a crystal of Ca2AgWO6 relaxed with PBEsol.

Summary:
Polymorph energy (0 for the lowest one) in meV/atom: 0
Electronic total energy in eV per atom: -18.1196
Uncorrected formation energy in eV/atom: -2.34
SG: P2_1/c, No. 14

a = 5.5394 Å, b = 5.9197 Å, c = 9.2859 Å
α = 90.00°, β = 125.51°, γ = 90.00°
Sites, in units of the cell vectors:
Ca 0.2314 0.0686 0.2469
Ca 0.2314 0.4314 0.7469
Ca 0.7686 0.5686 0.2531
Ca 0.7686 0.9314 0.7531
Ag 0.0000 0.0000 0.5000
Ag 0.0000 0.5000 0.0000
W 0.5000 0.0000 0.0000
W 0.5000 0.5000 0.5000
O 0.1604 0.1630 0.9493
O 0.1604 0.3370 0.4493
O 0.2788 0.7234 0.9329
O 0.2788 0.7766 0.4329
O 0.3750 0.0522 0.7585
O 0.3750 0.4478 0.2585
O 0.6250 0.5522 0.7415
O 0.6250 0.9478 0.2415
O 0.7212 0.2234 0.5671
O 0.7212 0.2766 0.0671
O 0.8396 0.6630 0.5507
O 0.8396 0.8370 0.0507



DFT (meta-GGA SCAN) results for a crystal of Ca2AgOs relaxed with PBEsol.

Summary:
Formation enthalpy at 0 K in eV/atom: 0.261
Electronic total energy in eV per atom: -30.3828
SG: Cm, No. 8

a = 11.0822 Å, b = 2.8774 Å, c = 5.3406 Å
α = 90.00°, β = 102.74°, γ = 90.00°
Sites, in units of the cell vectors:
Ca 0.0000 0.0000 0.0000
Ca 0.1929 0.0000 0.6161
Ca 0.5000 0.5000 0.0000
Ca 0.6929 0.5000 0.6161
Ag 0.2609 0.5000 0.1570
Ag 0.7609 0.0000 0.1570
Os 0.4475 0.0000 0.4852
Os 0.9475 0.5000 0.4852